No. 1
LaPrAs2Ir2O2 GGA-PBE relaxed; energy = -7.66 eV per atom; total magnetization = 0.00 μB per atom; SG = P4mm (99)
1.0
4.108 0.000 0.000
0.000 4.108 0.000
0.000 0.000 8.527
La Pr As Ir O
1 1 2 2 2
direct
0.000 0.000 0.000
0.500 0.500 0.280
0.000 0.000 0.472
0.500 0.500 0.801
0.000 0.500 0.636
0.500 0.000 0.636
0.000 0.500 0.140
0.500 0.000 0.140

***

No. 2
LiAs2Ir2 GGA-PBE relaxed; energy = -6.10 eV per atom; total magnetization = 0.00 μB per atom; SG = I4/mmm (139)
1.0
4.051 0.000 0.000
0.000 4.051 0.000
0.000 0.000 11.387
Li As Ir
2 4 4
direct
0.000 0.000 0.000
0.500 0.500 0.500
0.000 0.000 0.374
0.000 0.000 0.626
0.500 0.500 0.126
0.500 0.500 0.874
0.000 0.500 0.250
0.000 0.500 0.750
0.500 0.000 0.250
0.500 0.000 0.750

***

No. 3
Li2NiAs2Ir GGA-PBE relaxed; energy = -5.06 eV per atom; total magnetization = 0.00 μB per atom; SG = P-4m2 (115)
1.0
3.860 0.000 0.000
0.000 3.860 0.000
0.000 0.000 6.187
Li Ni As Ir
2 1 2 1
direct
0.000 0.500 0.176
0.500 0.000 0.824
0.000 0.000 0.500
0.000 0.500 0.750
0.500 0.000 0.250
0.500 0.500 0.500

***

No. 4
LiAsIrO GGA-PBE relaxed; energy above the most stable polymorph in this dataset = 0.80 eV per formula unit; total magnetization = 0.00 μB per atom; SG = P4/nmm (129)
1.0
3.879 0.000 0.000
0.000 3.879 0.000
0.000 0.000 7.226
Li As Ir O
2 2 2 2
direct
0.250 0.250 0.070
0.750 0.750 0.930
0.250 0.250 0.714
0.750 0.750 0.286
0.250 0.750 0.500
0.750 0.250 0.500
0.250 0.750 0.000
0.750 0.250 0.000

***

No. 5
LiAs2IrO6 GGA-PBE relaxed; energy = -6.07 eV per atom; total magnetization = 0.00 μB per atom; SG = P2_1/c (14)
1.0
5.047 0.000 0.000
0.000 5.784 0.000
-4.924 0.000 7.483
Li As Ir O
2 4 2 12
direct
0.000 0.000 0.000
0.000 0.500 0.500
0.241 0.006 0.758
0.241 0.494 0.258
0.759 0.506 0.742
0.759 0.994 0.242
0.500 0.000 0.500
0.500 0.500 0.000
0.096 0.165 0.425
0.096 0.335 0.925
0.296 0.688 0.436
0.296 0.812 0.936
0.427 0.067 0.261
0.427 0.433 0.761
0.573 0.567 0.239
0.573 0.933 0.739
0.704 0.188 0.064
0.704 0.312 0.564
0.904 0.665 0.075
0.904 0.835 0.575

***

No. 6
LiAsIrO GGA-PBE relaxed; energy above the most stable polymorph in this dataset = 0.00 eV per formula unit; total magnetization = 0.00 μB per atom; SG = Pmc2_1 (26)
1.0
3.552 0.000 0.000
0.000 6.008 0.000
0.000 0.000 5.525
Li As Ir O
2 2 2 2
direct
0.000 0.151 0.000
0.000 0.849 0.500
0.000 0.296 0.502
0.000 0.704 0.002
0.500 0.499 0.251
0.500 0.501 0.751
0.500 0.242 0.999
0.500 0.758 0.499